Below is a crystal of ZnS relaxed with PBEsol, with properties calculated at the SCAN level.

Lattice parameters (Å, degrees): 3.7819 3.7819 6.2080 90.00 90.00 120.00
Space group P6_3mc (No. 186)
One atom of each set of equivalent atoms:
Zn 0.3333 0.6667 0.0000 (multiplicity 2)
S 0.3333 0.6667 0.6258 (multiplicity 2)

Properties
**ΔE_f (raw)**: -0.939 eV per atom
**Calculated total energy**: -50.0 eV for the cell shown


Below is a crystal of ReIrAu2 relaxed with PBEsol, with properties calculated at the SCAN level.

Lattice parameters (Å, degrees): 5.392 8.279 2.771 90.00 90.00 90.00
Space group Cmmm (No. 65)
One atom of each set of equivalent atoms:
Re 0.000 0.000 0.000 (multiplicity 2)
Ir 0.000 0.500 0.000 (multiplicity 2)
Au 0.250 0.250 0.500 (multiplicity 4)

Properties
**Relative energy among the computed polymorphs**: 0.0753 eV/atom
**Energy of formation from the pure elements**: 245 kJ/mol of formula units
**Calculated total energy**: -555.9 eV for the cell shown


Below is a crystal of YMg3Cu2 relaxed with PBEsol, with properties calculated at the SCAN level.

Lattice parameters (Å, degrees): 4.5782 4.5782 12.4936 90.00 90.00 120.00
Space group P6_3/mmc (No. 194)
One atom of each set of equivalent atoms:
Y 0.0000 0.0000 0.2500 (multiplicity 2)
Mg 0.0000 0.0000 0.0000 (multiplicity 2)
Mg 0.3333 0.6667 0.0906 (multiplicity 4)
Cu 0.3333 0.6667 0.6413 (multiplicity 4)

Properties
**Energy of formation from the pure elements**: -82 kJ/mol of formula units
**Calculated total energy**: -148.0 eV for the cell shown


Below is a crystal of TcTe2IrI relaxed with PBEsol, with properties calculated at the SCAN level.

Lattice parameters (Å, degrees): 5.154 5.154 5.342 90.00 90.00 90.00
Space group P4/mmm (No. 123)
One atom of each set of equivalent atoms:
Tc 0.000 0.000 0.000 (multiplicity 1)
Te 0.000 0.500 0.500 (multiplicity 2)
Ir 0.500 0.500 0.500 (multiplicity 1)
I 0.500 0.500 0.000 (multiplicity 1)

Properties
**ΔE_f (raw)**: 1.082 eV per atom
**Calculated total energy**: -212.0 eV for the cell shown


Below is a crystal of CoP2Se relaxed with PBEsol, with properties calculated at the SCAN level.

Lattice parameters (Å, degrees): 5.194 6.894 3.104 90.00 90.00 90.00
Space group Cmmm (No. 65)
One atom of each set of equivalent atoms:
Co 0.000 0.000 0.000 (multiplicity 2)
P 0.250 0.250 0.500 (multiplicity 4)
Se 0.000 0.500 0.000 (multiplicity 2)

Properties
**ΔE_f (raw)**: 0.828 eV per atom
**Calculated total energy**: -109.7 eV for the cell shown


Below is a crystal of NiIrSe2 relaxed with PBEsol, with properties calculated at the SCAN level.

Lattice parameters (Å, degrees): 4.302 3.484 4.487 90.00 103.45 90.00
Space group P2/m (No. 10)
One atom of each set of equivalent atoms:
Ni 0.000 0.000 0.000 (multiplicity 1)
Ir 0.500 0.000 0.500 (multiplicity 1)
Se 0.269 0.500 0.768 (multiplicity 2)

Properties
**ΔE_f (raw)**: 0.272 eV per atom
**Calculated total energy**: -126.3 eV for the cell shown


Below is a crystal of NiP5O14 relaxed with PBEsol, with properties calculated at the SCAN level.

Lattice parameters (Å, degrees): 9.547 8.214 14.779 90.00 121.14 90.00
Space group P2_1/c (No. 14)
One atom of each set of equivalent atoms:
Ni 0.204 0.206 0.495 (multiplicity 4)
P 0.055 0.211 0.141 (multiplicity 4)
P 0.150 0.549 0.145 (multiplicity 4)
P 0.278 0.574 0.478 (multiplicity 4)
P 0.301 0.056 0.334 (multiplicity 4)
P 0.407 0.715 0.345 (multiplicity 4)
O 0.028 0.678 0.126 (multiplicity 4)
O 0.104 0.112 0.689 (multiplicity 4)
O 0.111 0.167 0.068 (multiplicity 4)
O 0.115 0.098 0.239 (multiplicity 4)
O 0.134 0.708 0.408 (multiplicity 4)
O 0.180 0.001 0.559 (multiplicity 4)
O 0.213 0.091 0.929 (multiplicity 4)
O 0.286 0.638 0.809 (multiplicity 4)
O 0.302 0.074 0.436 (multiplicity 4)
O 0.321 0.594 0.249 (multiplicity 4)
O 0.353 0.602 0.592 (multiplicity 4)
O 0.401 0.632 0.439 (multiplicity 4)
O 0.424 0.244 0.625 (multiplicity 4)
O 0.426 0.137 0.320 (multiplicity 4)

Properties
**ΔE_f (raw)**: -2.094 eV per atom
**Calculated total energy**: -789.1 eV for the cell shown


Below is a crystal of ZnTe3As relaxed with PBEsol, with properties calculated at the SCAN level.

Lattice parameters (Å, degrees): 5.343 5.343 5.343 90.00 90.00 90.00
Space group Pm-3m (No. 221)
One atom of each set of equivalent atoms:
Zn 0.000 0.000 0.000 (multiplicity 1)
Te 0.000 0.500 0.500 (multiplicity 3)
As 0.500 0.500 0.500 (multiplicity 1)

Properties
**Relative energy among the computed polymorphs**: 0.0000 eV/atom
**ΔE_f (raw)**: 0.606 eV per atom
**Calculated total energy**: -142.4 eV for the cell shown


Below is a crystal of CsTl3P relaxed with PBEsol, with properties calculated at the SCAN level.

Lattice parameters (Å, degrees): 5.549 5.549 5.549 90.00 90.00 90.00
Space group Pm-3m (No. 221)
One atom of each set of equivalent atoms:
Cs 0.000 0.000 0.000 (multiplicity 1)
Tl 0.000 0.500 0.500 (multiplicity 3)
P 0.500 0.500 0.500 (multiplicity 1)

Properties
**Relative energy among the computed polymorphs**: 0.0000 eV/atom
**Energy of formation from the pure elements**: 88 kJ/mol of formula units
**Calculated total energy**: -264.4 eV for the cell shown


Below is a crystal of YOsCl2 relaxed with PBEsol, with properties calculated at the SCAN level.

Lattice parameters (Å, degrees): 4.331 4.331 8.018 90.00 90.00 90.00
Space group I4/mmm (No. 139)
One atom of each set of equivalent atoms:
Y 0.000 0.000 0.000 (multiplicity 2)
Os 0.000 0.000 0.500 (multiplicity 2)
Cl 0.000 0.500 0.250 (multiplicity 4)

Properties
**Relative energy among the computed polymorphs**: 0.3913 eV/atom
**ΔE_f (raw)**: -0.045 eV per atom
**Calculated total energy**: -231.7 eV for the cell shown


Below is a crystal of CdSn2IrS relaxed with PBEsol, with properties calculated at the SCAN level.

Lattice parameters (Å, degrees): 5.304 5.304 4.906 90.00 90.00 90.00
Space group P4/mmm (No. 123)
One atom of each set of equivalent atoms:
Cd 0.000 0.000 0.000 (multiplicity 1)
Sn 0.000 0.500 0.000 (multiplicity 2)
Ir 0.000 0.000 0.500 (multiplicity 1)
S 0.500 0.500 0.500 (multiplicity 1)

Properties
**ΔE_f (raw)**: 1.367 eV per atom
**Calculated total energy**: -176.1 eV for the cell shown


Below is a crystal of Ga2CoO4 relaxed with PBEsol, with properties calculated at the SCAN level.

Lattice parameters (Å, degrees): 5.676 5.961 8.394 90.00 90.00 90.00
Space group Imma (No. 74)
One atom of each set of equivalent atoms:
Ga 0.000 0.000 0.000 (multiplicity 4)
Ga 0.000 0.250 0.365 (multiplicity 4)
Co 0.250 0.250 0.750 (multiplicity 4)
O 0.000 0.005 0.765 (multiplicity 8)
O 0.237 0.250 0.998 (multiplicity 8)

Properties
**Relative energy among the computed polymorphs**: 0.0203 eV/atom
**ΔE_f (raw)**: -1.819 eV per atom
**Calculated total energy**: -350.6 eV for the cell shown


calculated total energy of number 4 (TcTe2IrI)? -212.0 eV for the cell shown